Record 1
! KIn2Au5 (PBE, optimized geometry); values from VASP
&SYSTEM
  ibrav = 0, nat = 8, ntyp = 3
/
ATOMIC_SPECIES
K 39.10 K.upf
In 114.82 In.upf
Au 196.97 Au.upf
ATOMIC_POSITIONS angstrom
K 0.0000 0.0000 0.0000
In 2.2219 0.0000 3.0514
In 0.0000 3.6402 2.8441
Au 2.2219 2.2259 -1.4683
Au 2.2219 2.2259 1.4683
Au 0.0000 3.6402 0.0000
Au 0.0000 1.4143 4.4272
Au 0.0000 1.4143 7.3637
CELL_PARAMETERS angstrom
-2.2219 3.6402 5.8954
2.2219 -3.6402 5.8954
2.2219 3.6402 -5.8954
! - Calculated formation energy: -1.5 eV per formula unit
! - Calculated total energy: -3.061 eV per atom

=====

Record 2
! SrIn2SnO6 (PBE, optimized geometry); values from VASP
&SYSTEM
  ibrav = 0, nat = 10, ntyp = 4
/
ATOMIC_SPECIES
Sr 87.62 Sr.upf
In 114.82 In.upf
Sn 118.71 Sn.upf
O 16.00 O.upf
ATOMIC_POSITIONS angstrom
Sr 0.0000 0.0000 0.0000
In 0.0000 0.0000 4.0801
In 0.0000 0.0000 11.7661
Sn 0.0000 0.0000 7.2063
O -1.5461 -0.2511 5.7612
O -1.0152 -1.6095 8.1402
O 0.9905 -1.2134 5.7612
O -0.8863 1.6840 8.1402
O 0.5556 1.4645 5.7612
O 1.9015 -0.0745 8.1402
CELL_PARAMETERS angstrom
2.8458 1.6430 5.0392
-2.8458 1.6430 5.0392
0.0000 -3.2861 5.0392
! - Raw formation energy: -1845 meV per atom
! - Calculated total energy: -5.937 eV per atom

=====

Record 3
! LiPd2WN (PBE, optimized geometry); values from VASP
&SYSTEM
  ibrav = 0, nat = 5, ntyp = 4
/
ATOMIC_SPECIES
Li 6.94 Li.upf
Pd 106.42 Pd.upf
W 183.84 W.upf
N 14.01 N.upf
ATOMIC_POSITIONS angstrom
Li 0.0000 0.0000 0.0000
Pd 0.0000 2.2706 0.0000
Pd 2.2706 0.0000 0.0000
W 2.2706 2.2706 1.6384
N 0.0000 0.0000 1.6384
CELL_PARAMETERS angstrom
4.5412 0.0000 0.0000
0.0000 4.5412 0.0000
0.0000 0.0000 3.2768
! - Raw formation energy: 1255 meV per atom
! - Calculated total energy: -5.460 eV per atom

=====

Record 4
! KCaSn2 (PBE, optimized geometry); values from VASP
&SYSTEM
  ibrav = 0, nat = 8, ntyp = 3
/
ATOMIC_SPECIES
K 39.10 K.upf
Ca 40.08 Ca.upf
Sn 118.71 Sn.upf
ATOMIC_POSITIONS angstrom
K 0.0000 0.0000 0.0000
K 0.0000 4.5917 1.6184
Ca 4.5917 0.0000 1.6184
Ca 0.0000 0.0000 3.2369
Sn 2.2959 2.4701 -0.8092
Sn 6.7133 2.2959 0.8092
Sn 2.2959 2.1216 2.4277
Sn -2.1216 2.2959 4.0461
CELL_PARAMETERS angstrom
-4.5917 4.5917 3.2369
4.5917 -4.5917 3.2369
4.5917 4.5917 -3.2369
! - Calculated formation energy: 0.1 eV per formula unit
! - Calculated total energy: -2.750 eV per atom

=====

Record 5
! NdSi2Pt5 (PBE, optimized geometry); values from VASP
&SYSTEM
  ibrav = 0, nat = 8, ntyp = 3
/
ATOMIC_SPECIES
Nd 144.24 Nd.upf
Si 28.09 Si.upf
Pt 195.08 Pt.upf
ATOMIC_POSITIONS angstrom
Nd 0.0000 0.0000 0.0000
Si 1.9835 0.0000 2.4690
Si 0.0000 3.5367 2.4032
Pt 1.9835 2.1267 -1.4559
Pt 1.9835 2.1267 1.4559
Pt 0.0000 3.5367 0.0000
Pt 0.0000 1.4100 3.4164
Pt 0.0000 1.4100 6.3282
CELL_PARAMETERS angstrom
-1.9835 3.5367 4.8723
1.9835 -3.5367 4.8723
1.9835 3.5367 -4.8723
! - Raw formation energy: -914 meV per atom
! - Calculated total energy: -6.641 eV per atom

=====

Record 6
! Rb2ZrZnAu (PBE, optimized geometry); values from VASP
&SYSTEM
  ibrav = 0, nat = 5, ntyp = 4
/
ATOMIC_SPECIES
Rb 85.47 Rb.upf
Zr 91.22 Zr.upf
Zn 65.41 Zn.upf
Au 196.97 Au.upf
ATOMIC_POSITIONS angstrom
Rb 0.0000 3.5619 0.0000
Rb 3.5619 0.0000 0.0000
Zr 0.0000 0.0000 0.0000
Zn 3.5619 3.5619 2.6549
Au 0.0000 0.0000 2.6549
CELL_PARAMETERS angstrom
7.1237 0.0000 0.0000
0.0000 7.1237 0.0000
0.0000 0.0000 5.3098
! - Calculated formation energy: 4.1 eV per formula unit
! - Calculated total energy: -2.189 eV per atom

=====

Record 7
! Pb3NO (PBE, optimized geometry); values from VASP
&SYSTEM
  ibrav = 0, nat = 5, ntyp = 3
/
ATOMIC_SPECIES
Pb 207.20 Pb.upf
N 14.01 N.upf
O 16.00 O.upf
ATOMIC_POSITIONS angstrom
Pb 0.0000 0.0000 2.4531
Pb 0.0000 2.4531 0.0000
Pb 2.4531 0.0000 0.0000
N 2.4531 2.4531 2.4531
O 0.0000 0.0000 0.0000
CELL_PARAMETERS angstrom
4.9061 0.0000 0.0000
0.0000 4.9061 0.0000
0.0000 0.0000 4.9061
! - Raw formation energy: 601 meV per atom
! - Calculated total energy: -4.281 eV per atom

=====

Record 8
! KVCr2Cl8 (PBE, optimized geometry); values from VASP
&SYSTEM
  ibrav = 0, nat = 12, ntyp = 4
/
ATOMIC_SPECIES
K 39.10 K.upf
V 50.94 V.upf
Cr 52.00 Cr.upf
Cl 35.45 Cl.upf
ATOMIC_POSITIONS angstrom
K 0.0000 0.0000 0.0000
V 0.9790 1.0530 4.0499
Cr 3.8892 3.3288 1.8158
Cr 5.8609 4.9254 6.2841
Cl 3.6807 6.0305 5.8927
Cl 3.5077 5.5896 2.4808
Cl 2.9261 2.4637 3.7652
Cl 2.9595 1.8225 0.1779
Cl 6.7907 6.4318 7.9219
Cl 6.8240 5.7905 4.3347
Cl 6.2424 2.6646 5.6191
Cl 6.0695 2.2237 2.2072
CELL_PARAMETERS angstrom
6.1703 0.0000 0.0000
1.6218 6.1483 0.0000
1.9580 2.1059 8.0999
! - Raw formation energy: -1159 meV per atom
! - Calculated total energy: -4.845 eV per atom